Below is a relaxed structure of Dy11Al9Ni4, with properties calculated at the PBE level.

Computed properties:
As for the density of states at the Fermi level: 14.85 states/eV/f.u. The total energy is -4.960 eV per atom.

Unit cell a=3.551 b=12.582 c=12.582 alpha=112.75 beta=90.00 gamma=90.00
Fractional coordinates of all 24 atoms:
Dy 0.000 0.587 0.929
Dy 0.000 0.413 0.071
Dy 0.000 0.929 0.587
Dy 0.000 0.071 0.413
Dy 0.000 0.626 0.374
Dy 0.000 0.374 0.626
Dy 0.000 0.836 0.164
Dy 0.000 0.164 0.836
Dy 0.000 0.000 0.000
Dy 0.000 0.689 0.689
Dy 0.000 0.311 0.311
Al 0.500 0.632 0.167
Al 0.500 0.368 0.833
Al 0.500 0.167 0.632
Al 0.500 0.833 0.368
Al 0.500 0.781 0.918
Al 0.500 0.219 0.082
Al 0.500 0.918 0.781
Al 0.500 0.082 0.219
Al 0.500 0.500 0.500
Ni 0.500 0.553 0.757
Ni 0.500 0.447 0.243
Ni 0.500 0.757 0.553
Ni 0.500 0.243 0.447